# 1
A relaxed NpPa2Tc crystal. Source: the Alexandria database, functional GGA-PBE.

Computed properties:
* DFT formation energy: 0.002 eV per atom
* symmetry: P4/mmm, No. 123

Unit cell a=5.064 b=5.064 c=3.205 alpha=90.00 beta=90.00 gamma=90.00
Atoms (fractional coordinates):
Np 0.000 0.000 0.000
Pa 0.000 0.500 0.500
Pa 0.500 0.000 0.500
Tc 0.500 0.500 0.000

# 2
A relaxed Y5Mg3 crystal. Source: the Alexandria database, functional GGA-PBE.

Computed properties:
* DFT formation energy: 0.047 eV per atom
* symmetry: P6_3/mcm, No. 193

Unit cell a=9.486 b=9.486 c=6.118 alpha=90.00 beta=90.00 gamma=120.00
Atoms (fractional coordinates):
Y 0.000 0.229 0.250
Y 0.000 0.771 0.750
Y 0.229 0.000 0.250
Y 0.229 0.229 0.750
Y 0.333 0.667 0.000
Y 0.333 0.667 0.500
Y 0.667 0.333 0.000
Y 0.667 0.333 0.500
Y 0.771 0.000 0.750
Y 0.771 0.771 0.250
Mg 0.000 0.407 0.750
Mg 0.000 0.593 0.250
Mg 0.407 0.000 0.750
Mg 0.407 0.407 0.250
Mg 0.593 0.000 0.250
Mg 0.593 0.593 0.750